Entry 1:
4
Lattice="3.5626 0.0000 0.0000 0.0000 5.1172 0.0000 -1.5001 0.0000 6.3784" Properties=species:S:1:pos:R:3 comment="TlHg (PBE, relaxed)" volume_a3_per_cell=116.3 delta_e_f_ev_per_atom=-0.01 m_tot_mub_per_atom=0.000 pbc="T T T"
Tl 0.0928 1.2793 2.1915
Tl 1.9696 3.8379 4.1869
Hg 0.0375 1.2793 5.4830
Hg 2.0249 3.8379 0.8954



Entry 2:
8
Lattice="0.0000 4.9421 4.9421 4.9421 0.0000 4.9421 4.9421 4.9421 0.0000" Properties=species:S:1:pos:R:3 comment="Tl7Hg (PBE, relaxed)" volume_a3_per_cell=241.4 delta_e_f_ev_per_atom=0.02 m_tot_mub_per_atom=0.000 pbc="T T T"
Tl 0.0000 0.0000 0.0000
Tl 2.4710 2.4710 0.0000
Tl 2.4710 0.0000 2.4710
Tl 4.9421 2.4710 2.4710
Tl 0.0000 2.4710 2.4710
Tl 2.4710 4.9421 2.4710
Tl 2.4710 2.4710 4.9421
Hg 4.9421 4.9421 4.9421



Entry 3:
5
Lattice="-3.6317 3.6317 3.6317 3.6317 -3.6317 3.6317 3.6317 3.6317 -3.6317" Properties=species:S:1:pos:R:3 comment="TlHg4 (PBE, relaxed)" volume_a3_per_cell=191.6 e_above_lowest_polymorph_mev_per_atom=106 delta_e_f_ev_per_atom=0.09 m_tot_mub_per_atom=0.000 pbc="T T T"
Tl 0.0000 0.0000 0.0000
Hg 1.8159 1.8159 -1.8159
Hg 1.8159 -1.8159 1.8159
Hg -1.8159 1.8159 1.8159
Hg 1.8159 1.8159 1.8159



Entry 4:
5
Lattice="4.6662 -2.6688 0.0000 4.6662 2.6688 0.0000 -3.1198 0.0000 5.6266" Properties=species:S:1:pos:R:3 comment="TlHg4 (PBE, relaxed)" volume_a3_per_cell=140.1 e_above_lowest_polymorph_mev_per_atom=0 delta_e_f_ev_per_atom=-0.02 m_tot_mub_per_atom=0.000 pbc="T T T"
Tl 0.0000 0.0000 0.0000
Hg -0.0037 0.0000 3.4045
Hg 3.1088 0.0000 1.1997
Hg 3.1037 0.0000 4.4270
Hg 6.2162 0.0000 2.2221



Entry 5:
11
Lattice="6.4719 -2.0330 0.0000 6.4719 2.0330 0.0000 -5.9857 0.0000 12.0107" Properties=species:S:1:pos:R:3 comment="Tl3Hg8 (PBE, relaxed)" volume_a3_per_cell=316.1 e_above_lowest_polymorph_mev_per_atom=0 delta_e_f_ev_per_atom=-0.02 m_tot_mub_per_atom=0.000 pbc="T T T"
Tl 0.0000 0.0000 0.0000
Tl -2.5732 0.0000 7.7017
Tl 9.5314 0.0000 4.3090
Hg 0.6281 0.0000 3.2893
Hg -1.9608 0.0000 10.9523
Hg 1.3857 0.0000 6.5846
Hg 4.7775 0.0000 2.1770
Hg 2.1806 0.0000 9.8337
Hg 5.5725 0.0000 5.4261
Hg 8.9190 0.0000 1.0584
Hg 6.3300 0.0000 8.7214



Entry 6:
8
Lattice="-6.0219 6.0219 1.6790 6.0219 -6.0219 1.6790 6.0219 6.0219 -1.6790" Properties=species:S:1:pos:R:3 comment="TlHg (PBE, relaxed)" volume_a3_per_cell=243.5 delta_e_f_ev_per_atom=0.02 m_tot_mub_per_atom=0.000 pbc="T T T"
Tl 10.2548 1.5901 0.0000
Tl 1.5901 1.7889 0.0000
Tl 4.4318 4.2330 1.6790
Tl -4.2330 4.4318 1.6790
Hg 4.7056 1.4170 0.0000
Hg 4.6049 -1.3163 1.6790
Hg 1.4170 7.3382 0.0000
Hg 1.3163 4.6049 1.6790



Entry 7:
7
Lattice="-4.3213 4.3213 4.3213 4.3213 -4.3213 4.3213 4.3213 4.3213 -4.3213" Properties=species:S:1:pos:R:3 comment="Tl6Hg (PBE, relaxed)" volume_a3_per_cell=322.8 e_above_lowest_polymorph_mev_per_atom=309 delta_e_f_ev_per_atom=0.32 m_tot_mub_per_atom=0.000 pbc="T T T"
Tl 4.3213 2.1606 0.0000
Tl 4.3213 0.0000 2.1606
Tl 2.1606 4.3213 0.0000
Tl 2.1606 0.0000 4.3213
Tl 0.0000 4.3213 2.1606
Tl 0.0000 2.1606 4.3213
Hg 0.0000 0.0000 0.0000



Entry 8:
11
Lattice="5.0981 2.9434 4.0380 -5.0981 2.9434 4.0380 0.0000 -5.8868 4.0380" Properties=species:S:1:pos:R:3 comment="Tl8Hg3 (PBE, relaxed)" volume_a3_per_cell=363.6 e_above_lowest_polymorph_mev_per_atom=66 delta_e_f_ev_per_atom=0.08 m_tot_mub_per_atom=0.000 pbc="T T T"
Tl 0.0000 0.0000 1.6122
Tl -1.0845 -1.8360 4.7147
Tl -1.0477 1.8572 4.7147
Tl -2.1322 0.0212 7.3993
Tl 2.1322 -0.0212 4.7147
Tl 1.0477 -1.8572 7.3993
Tl 1.0845 1.8360 7.3993
Tl 0.0000 0.0000 10.5017
Hg -5.0981 0.0000 6.0570
Hg -2.5491 1.4717 2.0190
Hg 2.5491 1.4717 2.0190



Entry 9:
11
Lattice="10.2516 0.0000 0.0000 -5.1258 8.8782 0.0000 0.0000 0.0000 3.6691" Properties=species:S:1:pos:R:3 comment="Tl7Hg4 (PBE, relaxed)" volume_a3_per_cell=333.9 delta_e_f_ev_per_atom=0.01 m_tot_mub_per_atom=0.000 pbc="T T T"
Tl 0.0000 0.0000 0.0000
Tl 0.0000 3.3071 1.8346
Tl -2.2618 7.2246 1.8346
Tl 5.1258 0.6201 0.0000
Tl 3.0999 4.1290 0.0000
Tl 2.2618 7.2246 1.8346
Tl 7.1517 4.1290 0.0000
Hg 2.5547 1.4750 1.8346
Hg 0.0000 5.9188 0.0000
Hg 7.6969 1.4750 1.8346
Hg 5.1258 5.9282 1.8346



Entry 10:
4
Lattice="3.4946 0.0000 0.0000 -1.7473 3.0264 0.0000 0.0000 0.0000 11.3378" Properties=species:S:1:pos:R:3 comment="Tl3Hg (PBE, relaxed)" volume_a3_per_cell=119.9 delta_e_f_ev_per_atom=0.01 m_tot_mub_per_atom=0.000 pbc="T T T"
Tl 0.0000 0.0000 0.0000
Tl 1.7473 1.0088 2.9454
Tl 1.7473 1.0088 8.3925
Hg 0.0000 0.0000 5.6689



Entry 11:
4
Lattice="2.0117 -2.8471 0.0000 2.0117 2.8471 0.0000 0.0000 0.0000 10.2007" Properties=species:S:1:pos:R:3 comment="TlHg (PBE, relaxed)" volume_a3_per_cell=116.8 delta_e_f_ev_per_atom=0.00 m_tot_mub_per_atom=0.000 pbc="T T T"
Tl 2.0117 1.4236 8.8061
Tl 2.0117 -1.4236 1.3946
Hg 2.0117 1.4236 3.9280
Hg 2.0117 -1.4236 6.2727



Entry 12:
2
Lattice="2.1788 -2.7188 0.0000 2.1788 2.7188 0.0000 0.0000 0.0000 4.9172" Properties=species:S:1:pos:R:3 comment="TlHg (PBE, relaxed)" volume_a3_per_cell=58.3 delta_e_f_ev_per_atom=-0.01 m_tot_mub_per_atom=0.000 pbc="T T T"
Tl 0.0000 0.0000 0.0000
Hg 2.1788 0.0000 2.4586



Entry 13:
8
Lattice="0.0000 4.8510 4.8510 4.8510 0.0000 4.8510 4.8510 4.8510 0.0000" Properties=species:S:1:pos:R:3 comment="TlHg7 (PBE, relaxed)" volume_a3_per_cell=228.3 delta_e_f_ev_per_atom=-0.02 m_tot_mub_per_atom=0.000 pbc="T T T"
Tl 0.0000 0.0000 0.0000
Hg 2.4255 2.4255 0.0000
Hg 2.4255 0.0000 2.4255
Hg 4.8510 2.4255 2.4255
Hg 0.0000 2.4255 2.4255
Hg 2.4255 4.8510 2.4255
Hg 2.4255 2.4255 4.8510
Hg 4.8510 4.8510 4.8510